(1)
# MgZn2W PBE optimized geometry
# total moment: 1.832 μB/cell
# energy of formation from the pure elements: 2.45 eV per formula unit
# density of states at the Fermi level: 2.3 states/eV/cell
data_MgZn2W
_space_group_name_H-M_alt 'P 1'
_space_group_IT_number 1
_cell_length_a 4.505
_cell_length_b 4.505
_cell_length_c 4.505
_cell_angle_alpha 60.00
_cell_angle_beta 60.00
_cell_angle_gamma 60.00
loop_
_space_group_symop_operation_xyz
'x,y,z'
loop_
_atom_site_label
_atom_site_type_symbol
_atom_site_fract_x
_atom_site_fract_y
_atom_site_fract_z
Zn1 Zn 0.250 0.250 0.250
Zn2 Zn 0.000 0.000 0.000
Mg1 Mg 0.500 0.500 0.500
W1 W 0.750 0.750 0.750


(2)
# ZrNb2Re3 PBE optimized geometry
# total moment: 0.000 μB/cell
# energy of formation from the pure elements: -1.64 eV per formula unit
# density of states at the Fermi level: 3.3 states/eV/cell
data_ZrNb2Re3
_space_group_name_H-M_alt 'P 1'
_space_group_IT_number 1
_cell_length_a 3.233
_cell_length_b 3.233
_cell_length_c 9.751
_cell_angle_alpha 90.00
_cell_angle_beta 90.00
_cell_angle_gamma 90.00
loop_
_space_group_symop_operation_xyz
'x,y,z'
loop_
_atom_site_label
_atom_site_type_symbol
_atom_site_fract_x
_atom_site_fract_y
_atom_site_fract_z
Nb1 Nb 0.500 0.500 0.835
Re1 Re 0.000 0.000 0.000
Re2 Re 0.000 0.000 0.676
Nb2 Nb 0.500 0.500 0.165
Re3 Re 0.000 0.000 0.324
Zr1 Zr 0.500 0.500 0.500


(3)
# EuMgScZn PBE optimized geometry
# total moment: 7.306 μB/cell
# energy of formation from the pure elements: -0.29 eV per formula unit
# density of states at the Fermi level: 4.9 states/eV/cell
data_EuMgScZn
_space_group_name_H-M_alt 'P 1'
_space_group_IT_number 1
_cell_length_a 5.174
_cell_length_b 5.174
_cell_length_c 5.174
_cell_angle_alpha 60.00
_cell_angle_beta 60.00
_cell_angle_gamma 60.00
loop_
_space_group_symop_operation_xyz
'x,y,z'
loop_
_atom_site_label
_atom_site_type_symbol
_atom_site_fract_x
_atom_site_fract_y
_atom_site_fract_z
Mg1 Mg 0.500 0.500 0.500
Sc1 Sc 0.250 0.250 0.250
Eu1 Eu 0.750 0.750 0.750
Zn1 Zn 0.000 0.000 0.000


(4)
# Sm2Ni4Sb3Pd PBE optimized geometry
# total moment: 0.000 μB/cell
# formation energy (no corrections): -0.62 eV per atom
# density of states at the Fermi level: 7.2 states/eV/cell
data_Sm2Ni4Sb3Pd
_space_group_name_H-M_alt 'P 1'
_space_group_IT_number 1
_cell_length_a 4.290
_cell_length_b 4.290
_cell_length_c 10.309
_cell_angle_alpha 90.00
_cell_angle_beta 90.00
_cell_angle_gamma 90.00
loop_
_space_group_symop_operation_xyz
'x,y,z'
loop_
_atom_site_label
_atom_site_type_symbol
_atom_site_fract_x
_atom_site_fract_y
_atom_site_fract_z
Ni1 Ni 0.000 0.500 0.369
Sm1 Sm 0.000 0.500 0.749
Sb1 Sb 0.500 0.000 0.869
Sb2 Sb 0.000 0.500 0.131
Pd1 Pd 0.500 0.500 0.500
Ni2 Ni 0.000 0.000 0.000
Sb3 Sb 0.000 0.000 0.500
Ni3 Ni 0.500 0.500 0.000
Ni4 Ni 0.500 0.000 0.631
Sm2 Sm 0.500 0.000 0.251


(5)
# Lu2ThCd PBE optimized geometry
# total moment: 0.000 μB/cell
# energy of formation from the pure elements: -0.10 eV per formula unit
# density of states at the Fermi level: 5.9 states/eV/cell
data_Lu2ThCd
_space_group_name_H-M_alt 'P 1'
_space_group_IT_number 1
_cell_length_a 4.819
_cell_length_b 4.830
_cell_length_c 4.830
_cell_angle_alpha 90.00
_cell_angle_beta 90.00
_cell_angle_gamma 90.00
loop_
_space_group_symop_operation_xyz
'x,y,z'
loop_
_atom_site_label
_atom_site_type_symbol
_atom_site_fract_x
_atom_site_fract_y
_atom_site_fract_z
Cd1 Cd 0.500 0.000 0.000
Th1 Th 0.500 0.500 0.500
Lu1 Lu 0.000 0.500 0.000
Lu2 Lu 0.000 0.000 0.500


(6)
# La3PmSn2 PBE optimized geometry
# total moment: 0.000 μB/cell
# energy of formation from the pure elements: -1.85 eV per formula unit
# density of states at the Fermi level: 8.2 states/eV/cell
data_La3PmSn2
_space_group_name_H-M_alt 'P 1'
_space_group_IT_number 1
_cell_length_a 5.376
_cell_length_b 3.393
_cell_length_c 9.592
_cell_angle_alpha 90.00
_cell_angle_beta 90.00
_cell_angle_gamma 90.00
loop_
_space_group_symop_operation_xyz
'x,y,z'
loop_
_atom_site_label
_atom_site_type_symbol
_atom_site_fract_x
_atom_site_fract_y
_atom_site_fract_z
La1 La 0.000 0.500 0.162
Pm1 Pm 0.500 0.500 0.660
La2 La 0.500 0.500 0.334
La3 La 0.000 0.500 0.842
Sn1 Sn 0.500 0.000 0.997
Sn2 Sn 0.000 0.000 0.505


(7)
# Th2Mg12Cd7 PBE optimized geometry
# total moment: 0.000 μB/cell
# energy of formation from the pure elements: -2.03 eV per formula unit
# density of states at the Fermi level: 9.1 states/eV/cell
data_Th2Mg12Cd7
_space_group_name_H-M_alt 'P 1'
_space_group_IT_number 1
_cell_length_a 3.316
_cell_length_b 13.049
_cell_length_c 13.049
_cell_angle_alpha 120.00
_cell_angle_beta 90.00
_cell_angle_gamma 90.00
loop_
_space_group_symop_operation_xyz
'x,y,z'
loop_
_atom_site_label
_atom_site_type_symbol
_atom_site_fract_x
_atom_site_fract_y
_atom_site_fract_z
Mg1 Mg 0.242 0.168 0.922
Mg2 Mg 0.758 0.832 0.078
Mg3 Mg 0.242 0.754 0.832
Cd1 Cd 0.249 0.422 0.133
Th1 Th 0.253 0.333 0.667
Cd2 Cd 0.751 0.578 0.867
Th2 Th 0.747 0.667 0.333
Mg4 Mg 0.749 0.379 0.923
Cd3 Cd 0.751 0.133 0.710
Mg5 Mg 0.251 0.923 0.544
Cd4 Cd 0.249 0.867 0.290
Mg6 Mg 0.749 0.544 0.621
Mg7 Mg 0.251 0.621 0.077
Mg8 Mg 0.758 0.922 0.754
Mg9 Mg 0.758 0.246 0.168
Mg10 Mg 0.242 0.078 0.246
Mg11 Mg 0.749 0.077 0.456
Mg12 Mg 0.251 0.456 0.379
Cd5 Cd 0.751 0.290 0.422
Cd6 Cd 0.500 0.000 0.000
Cd7 Cd 0.249 0.710 0.578


(8)
# Nd6InNi2Br3 PBE optimized geometry
# total moment: 0.000 μB/cell
# formation energy (no corrections): -0.76 eV per atom
# density of states at the Fermi level: 9.1 states/eV/cell
data_Nd6InNi2Br3
_space_group_name_H-M_alt 'P 1'
_space_group_IT_number 1
_cell_length_a 4.053
_cell_length_b 9.266
_cell_length_c 9.982
_cell_angle_alpha 106.62
_cell_angle_beta 101.71
_cell_angle_gamma 90.00
loop_
_space_group_symop_operation_xyz
'x,y,z'
loop_
_atom_site_label
_atom_site_type_symbol
_atom_site_fract_x
_atom_site_fract_y
_atom_site_fract_z
Br1 Br 0.163 0.836 0.327
Nd1 Nd 0.667 0.134 0.334
Nd2 Nd 0.983 0.737 0.966
Br2 Br 0.837 0.164 0.673
Nd3 Nd 0.679 0.556 0.358
In1 In 0.500 0.000 0.000
Ni1 Ni 0.831 0.657 0.663
Nd4 Nd 0.333 0.866 0.666
Nd5 Nd 0.321 0.444 0.642
Ni2 Ni 0.169 0.343 0.337
Br3 Br 0.500 0.500 0.000
Nd6 Nd 0.017 0.263 0.034